Density functional theory data (GGA-PBE) for a geometry-optimized DyScH structure.

The space group is Pca2_1 (No. 29) and the conventional cell measures 6.024, 7.071 and 5.470 Å, with angles of 90.00, 90.00 and 90.00 degrees. The asymmetric unit holds Dy at (0.078, 0.133, 0.000), Sc at (0.089, 0.613, 0.017) and H at (0.093, 0.610, 0.397).

The density of states at the Fermi level is 0.969 states/eV/atom. As for the electronic total energy: -60.867 eV/cell.

=====

Density functional theory data (GGA-PBE) for a geometry-optimized UAgAu6 structure.

The space group is C2/m (No. 12) and the conventional cell measures 8.331, 4.796 and 8.312 Å, with angles of 90.00, 109.98 and 90.00 degrees. The asymmetric unit holds U at (0.000, 0.000, 0.000), Ag at (0.000, 0.500, 0.500), Au at (0.118, 0.500, 0.856), Au at (0.130, 0.000, 0.389) and Au at (0.248, 0.500, 0.239).

As for the calculated formation energy: -0.0966 eV/atom. The density of states at the Fermi level is 1.020 states/eV/atom. As for the electronic total energy: -69.153 eV/cell.

=====

Density functional theory data (GGA-PBE) for a geometry-optimized Li2Mg3 structure.

The space group is R-3m (No. 166, hexagonal axes) and the conventional cell measures 6.0295, 6.0295 and 10.8057 Å, with angles of 90.00, 90.00 and 120.00 degrees. The asymmetric unit holds Li at (0.0000, 0.0000, 0.1178) and Mg at (0.0000, 0.5000, 0.0000).

As for the calculated formation energy: 0.0619 eV/atom. The density of states at the Fermi level is 0.570 states/eV/atom. As for the electronic total energy: -24.905 eV/cell.

=====

Density functional theory data (GGA-PBE) for a geometry-optimized Y2CoPt structure.

The space group is C2/m (No. 12) and the conventional cell measures 6.843, 3.926 and 7.037 Å, with angles of 90.00, 108.64 and 90.00 degrees. The asymmetric unit holds Y at (0.245, 0.000, 0.234), Co at (0.000, 0.500, 0.000) and Pt at (0.000, 0.000, 0.500).

As for the calculated formation energy: -0.4140 eV/atom. The density of states at the Fermi level is 0.720 states/eV/atom. As for the electronic total energy: -55.462 eV/cell.

=====

Density functional theory data (GGA-PBE) for a geometry-optimized Al3Ni2P structure.

The space group is Cmmm (No. 65) and the conventional cell measures 7.704, 17.776 and 4.068 Å, with angles of 90.00, 90.00 and 90.00 degrees. The asymmetric unit holds Al at (0.000, 0.000, 0.000), Al at (0.209, 0.000, 0.500), Al at (0.213, 0.355, 0.500), Al at (0.250, 0.250, 0.000), Ni at (0.000, 0.318, 0.000), Ni at (0.221, 0.427, 0.000), P at (0.000, 0.235, 0.500) and P at (0.000, 0.500, 0.000).

As for the calculated formation energy: -0.2325 eV/atom. The density of states at the Fermi level is 0.301 states/eV/atom. As for the electronic total energy: -177.573 eV/cell.

=====

Density functional theory data (GGA-PBE) for a geometry-optimized LiZn4Ni5 structure.

The space group is P4/mmm (No. 123) and the conventional cell measures 2.928, 2.928 and 13.892 Å, with angles of 90.00, 90.00 and 90.00 degrees. The asymmetric unit holds Li at (0.000, 0.000, 0.000), Zn at (0.000, 0.000, 0.195), Zn at (0.000, 0.000, 0.399), Ni at (0.500, 0.500, 0.097), Ni at (0.500, 0.500, 0.298) and Ni at (0.500, 0.500, 0.500).

As for the calculated formation energy: -0.1756 eV/atom. The density of states at the Fermi level is 0.437 states/eV/atom. As for the electronic total energy: -37.672 eV/cell.